Entry 1:
! K2Pd2F, relaxed, DFT PBE; values from VASP
&SYSTEM
  ibrav = 0, nat = 10, ntyp = 3
/
ATOMIC_SPECIES
K 39.10 K.upf
Pd 106.42 Pd.upf
F 19.00 F.upf
CELL_PARAMETERS angstrom
8.7754 0.0000 0.0000
0.0000 8.7754 0.0000
0.0000 0.0000 3.3298
ATOMIC_POSITIONS angstrom
K 1.7554 2.6323 0.0000
K 2.6323 7.0200 0.0000
K 6.1431 1.7554 0.0000
K 7.0200 6.1431 0.0000
Pd 0.8917 5.2794 1.6649
Pd 3.4960 0.8917 1.6649
Pd 5.2794 7.8837 1.6649
Pd 7.8837 3.4960 1.6649
F 0.0000 0.0000 1.6649
F 4.3877 4.3877 1.6649
! Calculated density = 4.0 Mg/m³
! Raw total energy = -3.102 eV per atom
! ΔE to the lowest computed polymorph = 0.147 eV per atom
! Formation energy (no corrections) = -0.21 eV/atom
! Volume = 256.4 Å³ per cell

=====

Entry 2:
! K2PdF, relaxed, DFT PBE; values from VASP
&SYSTEM
  ibrav = 0, nat = 4, ntyp = 3
/
ATOMIC_SPECIES
K 39.10 K.upf
Pd 106.42 Pd.upf
F 19.00 F.upf
CELL_PARAMETERS angstrom
1.7331 1.0006 9.1731
-1.7331 1.0006 9.1731
0.0000 -2.0012 9.1731
ATOMIC_POSITIONS angstrom
K 0.0000 0.0000 2.8950
K 0.0000 0.0000 24.6242
Pd 0.0000 0.0000 0.0000
F 0.0000 0.0000 13.7596
! Calculated density = 3.5 Mg/m³
! Raw total energy = -3.343 eV per atom
! ΔE to the lowest computed polymorph = 0.000 eV per atom
! Formation energy (no corrections) = -1.03 eV/atom
! Volume = 95.4 Å³ per cell

=====

Entry 3:
! K3PdF7, relaxed, DFT PBE; values from VASP
&SYSTEM
  ibrav = 0, nat = 11, ntyp = 3
/
ATOMIC_SPECIES
K 39.10 K.upf
Pd 106.42 Pd.upf
F 19.00 F.upf
CELL_PARAMETERS angstrom
4.3173 -4.2811 0.0000
4.3173 4.2811 0.0000
-3.8585 0.0000 5.2912
ATOMIC_POSITIONS angstrom
K 0.0000 0.0000 0.0000
K 2.1648 2.0301 2.9168
K 2.1648 -2.0301 2.9168
Pd 4.2479 0.0000 0.5645
F -0.1015 1.2783 4.2352
F 2.3942 0.0000 1.2013
F 4.3765 1.9936 1.2592
F -0.1015 -1.2783 4.2352
F 2.2191 0.0000 5.1678
F 5.0307 0.0000 2.6489
F 4.3765 -1.9936 1.2592
! Calculated density = 3.0 Mg/m³
! Raw total energy = -4.007 eV per atom
! Formation energy (no corrections) = -2.04 eV/atom
! Volume = 195.6 Å³ per cell